This record from OQMD describes crystalline SrBiOs at its relaxed geometry. The functional is PBE-GGA.

Structure (CIF):
```
data_SrBiOs
_cell_length_a 5.0312
_cell_length_b 5.0312
_cell_length_c 5.0312
_cell_angle_alpha 60.00
_cell_angle_beta 60.00
_cell_angle_gamma 60.00
_space_group_name_H-M_alt 'P 1'
_space_group_IT_number 1
loop_
_space_group_symop_operation_xyz
'x,y,z'
loop_
_atom_site_label
_atom_site_fract_x
_atom_site_fract_y
_atom_site_fract_z
Bi1 0.2500 0.2500 0.2500
Os1 0.7500 0.7500 0.7500
Sr1 0.0000 0.0000 0.0000
```

Output
For the total DFT energy (no corrections), the calculation gives -0.1551 hartree per atom. The value obtained for the energy above the lowest structure with this stoichiometry is 945.6 meV/atom. Its space group is F-43m.

This record from OQMD describes crystalline SmTa2O4 at its relaxed geometry. The functional is PBE-GGA.

Structure (CIF):
```
data_SmTa2O4
_cell_length_a 6.4588
_cell_length_b 6.4588
_cell_length_c 6.4588
_cell_angle_alpha 119.99
_cell_angle_beta 90.01
_cell_angle_gamma 119.99
_space_group_name_H-M_alt 'P 1'
_space_group_IT_number 1
loop_
_space_group_symop_operation_xyz
'x,y,z'
loop_
_atom_site_label
_atom_site_fract_x
_atom_site_fract_y
_atom_site_fract_z
O1 0.6118 0.2238 0.3880
O2 0.1642 0.7762 0.3880
O3 0.6120 0.7762 0.3882
O4 0.1380 0.2762 0.4142
O5 0.6120 0.2238 0.8358
O6 0.1380 0.7238 0.8618
O7 0.1382 0.2762 0.8620
O8 0.5858 0.7238 0.8620
Sm1 0.0000 0.0000 0.0000
Sm2 0.7500 0.5000 0.2500
Ta1 0.3750 0.7500 0.1250
Ta2 0.3750 0.7500 0.6250
Ta3 0.3750 0.2500 0.6250
Ta4 0.8750 0.2500 0.6250
```

Output
For the total DFT energy (no corrections), the calculation gives -0.3280 hartree per atom. Its space group is Fd-3m.

This record from OQMD describes crystalline IrPbW2 at its relaxed geometry. The functional is PBE-GGA.

Structure (CIF):
```
data_IrPbW2
_cell_length_a 4.6248
_cell_length_b 4.6248
_cell_length_c 4.6248
_cell_angle_alpha 60.00
_cell_angle_beta 60.00
_cell_angle_gamma 60.00
_space_group_name_H-M_alt 'P 1'
_space_group_IT_number 1
loop_
_space_group_symop_operation_xyz
'x,y,z'
loop_
_atom_site_label
_atom_site_fract_x
_atom_site_fract_y
_atom_site_fract_z
Ir1 0.2500 0.2500 0.2500
Pb1 0.5000 0.5000 0.5000
W1 0.0000 0.0000 0.0000
W2 0.7500 0.7500 0.7500
```

Output
For the total DFT energy (no corrections), the calculation gives -0.3242 hartree per atom. Its space group is F-43m.

This record from OQMD describes crystalline HoPSe2S2 at its relaxed geometry. The functional is PBE-GGA.

Structure (CIF):
```
data_HoPSe2S2
_cell_length_a 6.5275
_cell_length_b 6.6249
_cell_length_c 7.8088
_cell_angle_alpha 88.08
_cell_angle_beta 86.58
_cell_angle_gamma 84.77
_space_group_name_H-M_alt 'P 1'
_space_group_IT_number 1
loop_
_space_group_symop_operation_xyz
'x,y,z'
loop_
_atom_site_label
_atom_site_fract_x
_atom_site_fract_y
_atom_site_fract_z
Ho1 0.2000 0.7167 0.0554
Ho2 0.8000 0.2833 0.9446
P1 0.6980 0.7458 0.1828
P2 0.3020 0.2542 0.8172
S1 0.8824 0.9810 0.2089
S2 0.9039 0.4950 0.2293
S3 0.0961 0.5050 0.7707
S4 0.1176 0.0190 0.7911
Se1 0.3774 0.2715 0.0929
Se2 0.4219 0.7599 0.3526
Se3 0.5781 0.2401 0.6474
Se4 0.6226 0.7285 0.9071
```

Output
For the total DFT energy (no corrections), the calculation gives -0.1887 hartree per atom. The value obtained for the energy above the lowest structure with this stoichiometry is 2.5 meV/atom. Its space group is P-1.

This record from OQMD describes crystalline KTb2CuNi at its relaxed geometry. The functional is PBE-GGA.

Structure (CIF):
```
data_KTb2CuNi
_cell_length_a 3.7438
_cell_length_b 9.0437
_cell_length_c 9.0437
_cell_angle_alpha 27.09
_cell_angle_beta 90.00
_cell_angle_gamma 90.00
_space_group_name_H-M_alt 'P 1'
_space_group_IT_number 1
loop_
_space_group_symop_operation_xyz
'x,y,z'
loop_
_atom_site_label
_atom_site_fract_x
_atom_site_fract_y
_atom_site_fract_z
Cu1 0.0000 0.7939 0.7939
K1 0.0000 0.0000 0.0000
Ni1 0.0000 0.2096 0.2096
Tb1 0.5000 0.3279 0.3279
Tb2 0.5000 0.6685 0.6685
```

Output
For the total DFT energy (no corrections), the calculation gives -0.1476 hartree per atom. Its space group is Amm2.

This record from OQMD describes crystalline K2ZrTaO6 at its relaxed geometry. The functional is PBE-GGA.

Structure (CIF):
```
data_K2ZrTaO6
_cell_length_a 5.8032
_cell_length_b 5.8032
_cell_length_c 5.8032
_cell_angle_alpha 60.00
_cell_angle_beta 60.00
_cell_angle_gamma 60.00
_space_group_name_H-M_alt 'P 1'
_space_group_IT_number 1
loop_
_space_group_symop_operation_xyz
'x,y,z'
loop_
_atom_site_label
_atom_site_fract_x
_atom_site_fract_y
_atom_site_fract_z
K1 0.2500 0.2500 0.2500
K2 0.7500 0.7500 0.7500
O1 0.7570 0.2430 0.2430
O2 0.2430 0.7570 0.2430
O3 0.7570 0.7570 0.2430
O4 0.2430 0.2430 0.7570
O5 0.7570 0.2430 0.7570
O6 0.2430 0.7570 0.7570
Ta1 0.0000 0.0000 0.0000
Zr1 0.5000 0.5000 0.5000
```

Output
For the total DFT energy (no corrections), the calculation gives -0.2859 hartree per atom. The value obtained for the energy above the lowest structure with this stoichiometry is 0.0 meV/atom. Its space group is Fm-3m.

This record from OQMD describes crystalline Tb2ReB6 at its relaxed geometry. The functional is PBE-GGA.

Structure (CIF):
```
data_Tb2ReB6
_cell_length_a 9.1954
_cell_length_b 11.5772
_cell_length_c 3.6943
_cell_angle_alpha 90.00
_cell_angle_beta 90.00
_cell_angle_gamma 90.00
_space_group_name_H-M_alt 'P 1'
_space_group_IT_number 1
loop_
_space_group_symop_operation_xyz
'x,y,z'
loop_
_atom_site_label
_atom_site_fract_x
_atom_site_fract_y
_atom_site_fract_z
B1 0.6005 0.0281 0.5000
B2 0.0534 0.0672 0.5000
B3 0.2486 0.0817 0.5000
B4 0.6310 0.1860 0.5000
B5 0.9830 0.2117 0.5000
B6 0.2915 0.2346 0.5000
B7 0.7915 0.2654 0.5000
B8 0.4830 0.2883 0.5000
B9 0.1310 0.3140 0.5000
B10 0.7486 0.4183 0.5000
B11 0.5534 0.4328 0.5000
B12 0.1005 0.4719 0.5000
B13 0.8995 0.5281 0.5000
B14 0.4466 0.5672 0.5000
B15 0.2514 0.5817 0.5000
B16 0.8690 0.6860 0.5000
B17 0.5170 0.7117 0.5000
B18 0.2085 0.7346 0.5000
B19 0.7085 0.7654 0.5000
B20 0.0170 0.7883 0.5000
B21 0.3690 0.8140 0.5000
B22 0.7514 0.9183 0.5000
B23 0.9466 0.9328 0.5000
B24 0.3995 0.9719 0.5000
Re1 0.1383 0.1791 0.0000
Re2 0.6383 0.3209 0.0000
Re3 0.3617 0.6791 0.0000
Re4 0.8617 0.8209 0.0000
Tb1 0.8234 0.0860 0.0000
Tb2 0.4427 0.1303 0.0000
Tb3 0.9427 0.3697 0.0000
Tb4 0.3234 0.4140 0.0000
Tb5 0.6766 0.5860 0.0000
Tb6 0.0573 0.6303 0.0000
Tb7 0.5573 0.8697 0.0000
Tb8 0.1766 0.9140 0.0000
```

Output
For the total DFT energy (no corrections), the calculation gives -0.2744 hartree per atom. Its space group is Pbam.

This record from OQMD describes crystalline Gd3Ga3GePd2 at its relaxed geometry. The functional is PBE-GGA.

Structure (CIF):
```
data_Gd3Ga3GePd2
_cell_length_a 7.6860
_cell_length_b 7.6860
_cell_length_c 3.9229
_cell_angle_alpha 90.00
_cell_angle_beta 90.00
_cell_angle_gamma 120.00
_space_group_name_H-M_alt 'P 1'
_space_group_IT_number 1
loop_
_space_group_symop_operation_xyz
'x,y,z'
loop_
_atom_site_label
_atom_site_fract_x
_atom_site_fract_y
_atom_site_fract_z
Ga1 0.4023 0.0000 0.0000
Ga2 0.0000 0.4023 0.0000
Ga3 0.5977 0.5977 0.0000
Gd1 0.7187 0.0000 0.5000
Gd2 0.2813 0.2813 0.5000
Gd3 0.0000 0.7187 0.5000
Ge1 0.0000 0.0000 0.0000
Pd1 0.6667 0.3333 0.5000
Pd2 0.3333 0.6667 0.5000
```

Output
For the total DFT energy (no corrections), the calculation gives -0.1722 hartree per atom. The value obtained for the energy above the lowest structure with this stoichiometry is 313.3 meV/atom. Its space group is P-62m.

This record from OQMD describes crystalline Ho3Al3NiIr2 at its relaxed geometry. The functional is PBE-GGA.

Structure (CIF):
```
data_Ho3Al3NiIr2
_cell_length_a 6.9745
_cell_length_b 6.9745
_cell_length_c 3.9692
_cell_angle_alpha 90.00
_cell_angle_beta 90.00
_cell_angle_gamma 120.00
_space_group_name_H-M_alt 'P 1'
_space_group_IT_number 1
loop_
_space_group_symop_operation_xyz
'x,y,z'
loop_
_atom_site_label
_atom_site_fract_x
_atom_site_fract_y
_atom_site_fract_z
Al1 0.7631 0.0000 0.0000
Al2 0.2369 0.2369 0.0000
Al3 0.0000 0.7631 0.0000
Ho1 0.4090 0.0000 0.5000
Ho2 0.0000 0.4090 0.5000
Ho3 0.5910 0.5910 0.5000
Ir1 0.6667 0.3333 0.0000
Ir2 0.3333 0.6667 0.0000
Ni1 0.0000 0.0000 0.5000
```

Output
For the total DFT energy (no corrections), the calculation gives -0.2273 hartree per atom. Its space group is P-62m.

This record from OQMD describes crystalline Pm2BiTe at its relaxed geometry. The functional is PBE-GGA.

Structure (CIF):
```
data_Pm2BiTe
_cell_length_a 4.5233
_cell_length_b 6.3888
_cell_length_c 9.0313
_cell_angle_alpha 90.00
_cell_angle_beta 90.00
_cell_angle_gamma 90.00
_space_group_name_H-M_alt 'P 1'
_space_group_IT_number 1
loop_
_space_group_symop_operation_xyz
'x,y,z'
loop_
_atom_site_label
_atom_site_fract_x
_atom_site_fract_y
_atom_site_fract_z
Bi1 0.0000 0.0000 0.3740
Bi2 0.5000 0.5000 0.6260
Pm1 0.5000 0.0000 0.1261
Pm2 0.0000 0.5000 0.3760
Pm3 0.5000 0.0000 0.6240
Pm4 0.0000 0.5000 0.8739
Te1 0.5000 0.5000 0.1243
Te2 0.0000 0.0000 0.8757
```

Output
For the total DFT energy (no corrections), the calculation gives -0.1975 hartree per atom. The value obtained for the energy above the lowest structure with this stoichiometry is 3.9 meV/atom. Its space group is Pmmn.

This record from OQMD describes crystalline SmTl3S6 at its relaxed geometry. The functional is PBE-GGA.

Structure (CIF):
```
data_SmTl3S6
_cell_length_a 10.9610
_cell_length_b 4.0508
_cell_length_c 11.5466
_cell_angle_alpha 90.00
_cell_angle_beta 110.03
_cell_angle_gamma 90.00
_space_group_name_H-M_alt 'P 1'
_space_group_IT_number 1
loop_
_space_group_symop_operation_xyz
'x,y,z'
loop_
_atom_site_label
_atom_site_fract_x
_atom_site_fract_y
_atom_site_fract_z
S1 0.8941 0.2500 0.0424
S2 0.4395 0.2500 0.1049
S3 0.7668 0.7500 0.2528
S4 0.2362 0.7500 0.3058
S5 0.0424 0.2500 0.4033
S6 0.5975 0.7500 0.4298
S7 0.4025 0.2500 0.5702
S8 0.9576 0.7500 0.5967
S9 0.7638 0.2500 0.6942
S10 0.2332 0.2500 0.7472
S11 0.5605 0.7500 0.8951
S12 0.1059 0.7500 0.9576
Sm1 0.8038 0.2500 0.4498
Sm2 0.1962 0.7500 0.5502
Tl1 0.6650 0.2500 0.0632
Tl2 0.9822 0.7500 0.1999
Tl3 0.4051 0.2500 0.3336
Tl4 0.5949 0.7500 0.6664
Tl5 0.0178 0.2500 0.8001
Tl6 0.3350 0.7500 0.9368
```

Output
For the total DFT energy (no corrections), the calculation gives -0.1532 hartree per atom. Its space group is P2_1/m.

This record from OQMD describes crystalline HoZr at its relaxed geometry. The functional is PBE-GGA.

Structure (CIF):
```
data_HoZr
_cell_length_a 5.8286
_cell_length_b 10.2858
_cell_length_c 5.3442
_cell_angle_alpha 90.00
_cell_angle_beta 90.00
_cell_angle_gamma 90.00
_space_group_name_H-M_alt 'P 1'
_space_group_IT_number 1
loop_
_space_group_symop_operation_xyz
'x,y,z'
loop_
_atom_site_label
_atom_site_fract_x
_atom_site_fract_y
_atom_site_fract_z
Ho1 0.4899 0.1611 0.0000
Ho2 0.9899 0.6722 0.0000
Ho3 0.8480 0.1590 0.5000
Ho4 0.3289 0.3368 0.5000
Ho5 0.8288 0.4966 0.5000
Ho6 0.3480 0.6744 0.5000
Zr1 0.9974 0.3379 0.0000
Zr2 0.4974 0.4955 0.0000
Zr3 0.5120 0.8430 0.0000
Zr4 0.0120 0.9903 0.0000
Zr5 0.8238 0.8479 0.5000
Zr6 0.3238 0.9854 0.5000
```

Output
For the total DFT energy (no corrections), the calculation gives -0.2390 hartree per atom. Its space group is Pmc2_1. The calculation puts the formation energy at 0.058 eV per atom.

no.,magnetic moment (μB per cell)
1,0.055
2,0.849
3,0.133
4,0.003
5,0.002
6,0.019
7,0.006
8,0.033
9,0.001
10,0.025
11,0.005
12,0.060